Record 1
Entry from the Alexandria database: YReSi2 after structural relaxation (PBE-GGA).

Cell and atoms, written as POSCAR:
```
YReSi2
1.0
-6.8933 1.2418 5.3051
-6.9216 -1.8233 5.0962
-5.0964 -0.4399 7.1441
Re Si Y
1 2 1
direct
0.7358 0.7358 0.7358
0.0011 0.0011 0.0011
0.2624 0.2624 0.2624
0.5008 0.5008 0.5008
```

total DFT energy (no corrections) = -7.14 eV per atom
formation energy from raw total energies = 1.2 eV/f.u.
space-group type = R3m, No. 160
total moment = 0.0 μB/f.u.

=====

Record 2
Entry from the Alexandria database: Y2ReSi after structural relaxation (PBE-GGA).

Cell and atoms, written as POSCAR:
```
Y2ReSi
1.0
7.8611 0.0000 0.0000
0.0000 7.8611 0.0000
3.9306 3.9306 2.8729
Y Re Si
4 2 2
direct
0.6473 0.1250 0.2500
0.1027 0.6250 0.2500
0.3750 0.3527 0.7500
0.8750 0.8973 0.7500
0.0000 0.0000 0.0000
0.7500 0.2500 0.5000
0.5000 0.5000 0.0000
0.2500 0.7500 0.5000
```

total DFT energy (no corrections) = -7.18 eV per atom
formation energy from raw total energies = 2.1 eV/f.u.
space-group type = I-42d, No. 122
total moment = 0.0 μB/f.u.